Compound: NiPd3O
Source: Alexandria via LeMat-Bulk
Functional: PBE with a Hubbard U
Structure: optimized geometry

The energy above the most stable polymorph in this dataset comes out at 0 meV per atom. As for the crystal system: cubic.

The structure belongs to space group Pm-3m (No. 221); the cell edges are 4.164, 4.164 and 4.164 Å and the angles 90.00°, 90.00° and 90.00°. The inequivalent atoms are Ni at (0.000, 0.000, 0.000), Pd at (0.000, 0.500, 0.500) and O at (0.500, 0.500, 0.500).